1.
VASP calculation (PBE) on a relaxed structure of FeAgBr3.

Energy above the most stable polymorph in this dataset   0.000 eV per atom
D(E_F)   1.02 states/eV/atom
Uncorrected formation energy   -0.040 eV per atom

a = 5.136 Å, b = 5.136 Å, c = 5.136 Å
α = 90.00°, β = 90.00°, γ = 90.00°
Fractional coordinates of all 5 atoms:
Fe (0.000, 0.000, 0.000)
Ag (0.500, 0.500, 0.500)
Br (0.000, 0.000, 0.500)
Br (0.000, 0.500, 0.000)
Br (0.500, 0.000, 0.000)

2.
VASP calculation (PBE) on a relaxed structure of Ca3SbP.

Energy above the most stable polymorph in this dataset   0.106 eV per atom
D(E_F)   0.00 states/eV/atom
Uncorrected formation energy   -0.988 eV per atom

a = 5.385 Å, b = 5.385 Å, c = 5.385 Å
α = 90.00°, β = 90.00°, γ = 90.00°
Fractional coordinates of all 5 atoms:
Ca (0.000, 0.000, 0.500)
Ca (0.000, 0.500, 0.000)
Ca (0.500, 0.000, 0.000)
Sb (0.500, 0.500, 0.500)
P (0.000, 0.000, 0.000)

3.
VASP calculation (PBE) on a relaxed structure of Na2CdCuCl5.

Uncorrected formation energy   -1.229 eV per atom

a = 8.714 Å, b = 8.714 Å, c = 12.860 Å
α = 90.00°, β = 90.00°, γ = 154.19°
Fractional coordinates of all 18 atoms:
Na (0.082, 0.918, 0.500)
Na (0.127, 0.873, 0.172)
Na (0.873, 0.127, 0.672)
Na (0.918, 0.082, 0.000)
Cd (0.217, 0.783, 0.874)
Cd (0.783, 0.217, 0.374)
Cu (0.454, 0.546, 0.272)
Cu (0.546, 0.454, 0.772)
Cl (0.058, 0.942, 0.867)
Cl (0.279, 0.721, 0.516)
Cl (0.294, 0.706, 0.233)
Cl (0.370, 0.630, 0.852)
Cl (0.494, 0.506, 0.612)
Cl (0.506, 0.494, 0.112)
Cl (0.630, 0.370, 0.352)
Cl (0.706, 0.294, 0.733)
Cl (0.721, 0.279, 0.016)
Cl (0.942, 0.058, 0.367)

4.
VASP calculation (PBE) on a relaxed structure of CrCoRe2.

ΔH_f (0 K)   0.105 eV/atom
Energy above the most stable polymorph in this dataset   0.059 eV per atom
D(E_F)   1.04 states/eV/atom

a = 4.567 Å, b = 4.567 Å, c = 4.582 Å
α = 99.49°, β = 99.49°, γ = 33.95°
Fractional coordinates of all 4 atoms:
Cr (0.000, 0.000, 0.000)
Co (0.743, 0.743, 0.240)
Re (0.247, 0.247, 0.753)
Re (0.489, 0.489, 0.475)

5.
VASP calculation (PBE) on a relaxed structure of Fe4Sb3.

Energy above the most stable polymorph in this dataset   0.000 eV per atom
D(E_F)   1.00 states/eV/atom
Uncorrected formation energy   0.140 eV per atom

a = 12.126 Å, b = 12.126 Å, c = 12.126 Å
α = 164.77°, β = 164.77°, γ = 21.60°
Fractional coordinates of all 7 atoms:
Fe (0.064, 0.064, 0.000)
Fe (0.386, 0.386, 0.000)
Fe (0.614, 0.614, 0.000)
Fe (0.936, 0.936, 0.000)
Sb (0.181, 0.181, 0.000)
Sb (0.500, 0.500, 0.000)
Sb (0.819, 0.819, 0.000)

6.
VASP calculation (PBE) on a relaxed structure of NaCe2NdTl4.

ΔH_f (0 K)   -0.240 eV/atom
D(E_F)   2.21 states/eV/atom

a = 9.637 Å, b = 9.637 Å, c = 9.637 Å
α = 32.79°, β = 32.79°, γ = 32.79°
Fractional coordinates of all 8 atoms:
Na (0.000, 0.000, 0.000)
Ce (0.255, 0.255, 0.255)
Ce (0.745, 0.745, 0.745)
Nd (0.500, 0.500, 0.500)
Tl (0.124, 0.124, 0.124)
Tl (0.375, 0.375, 0.375)
Tl (0.625, 0.625, 0.625)
Tl (0.876, 0.876, 0.876)

Computed values of size of the total moment (unit: μB per atom) for the preceding records, in sequence: 0.804 0.000 0.000 0.000 1.322 0.258.
Computed values of V (unit: Å³ per atom) for the preceding records, in sequence: 27.095 31.225 23.617 13.141 17.571 29.189.